No. 1
Density functional theory data (GGA-PBE) for a relaxed Rb2GaBiTe4 crystal.

```
Rb2GaBiTe4
1.0
0.0000 7.7974 13.2807
3.5283 0.0000 13.2807
3.5283 7.7974 0.0000
Rb Ga Bi Te
4 2 2 8
Cartesian
2.6463 5.8480 1.6121 Rb
4.4104 9.7467 8.2524 Rb
2.6463 5.8480 18.3090 Rb
4.4104 9.7467 24.9493 Rb
2.6463 5.8480 9.9605 Ga
4.4104 9.7467 16.6009 Ga
0.8821 1.9493 3.3202 Bi
6.1746 13.6454 23.2412 Bi
2.8964 3.5635 4.8607 Te
4.1603 7.4621 11.5011 Te
2.3961 8.1326 4.8607 Te
2.3961 3.5635 15.0603 Te
4.6606 12.0313 11.5011 Te
4.6606 7.4621 21.7006 Te
2.8964 8.1326 15.0603 Te
4.1603 12.0313 21.7006 Te
```

Values from the calculation:
Energy ... -25.9 eV per formula unit
Uncorrected formation energy ... -0.56 eV per atom

=====

No. 2
Density functional theory data (GGA-PBE) for a relaxed Na4SiPd3O8 crystal.

```
Na4SiPd3O8
1.0
5.9137 -2.9489 0.0000
5.9137 2.9489 0.0000
-2.6562 0.0000 5.4318
Na Si Pd O
4 1 3 8
Cartesian
0.0000 0.0000 0.0000 Na
1.6287 1.4745 2.7159 Na
1.6287 -1.4745 2.7159 Na
5.9137 0.0000 0.0000 Na
-1.3281 0.0000 2.7159 Si
2.9568 1.4745 0.0000 Pd
2.9568 -1.4745 0.0000 Pd
4.5856 0.0000 2.7159 Pd
0.1340 0.0000 3.9874 O
3.7400 1.6419 3.6274 O
5.4311 1.6419 1.8044 O
2.9807 0.0000 1.3916 O
6.1904 0.0000 4.0402 O
3.7400 -1.6419 3.6274 O
5.4311 -1.6419 1.8044 O
9.0372 0.0000 1.4444 O
```

Values from the calculation:
Energy ... -86.7 eV per formula unit
Uncorrected formation energy ... -1.30 eV per atom

=====

No. 3
Density functional theory data (GGA-PBE) for a relaxed Ce3CdRh crystal.

```
Ce3CdRh
1.0
7.6214 -5.0894 0.0000
7.6214 5.0894 0.0000
0.0000 0.0000 6.4633
Ce Cd Rh
12 4 4
Cartesian
6.2213 2.5503 3.4151 Ce
6.2213 2.5503 6.2798 Ce
3.8397 0.0000 0.0000 Ce
3.8397 0.0000 3.2316 Ce
9.0215 2.5503 3.4151 Ce
9.0215 2.5503 6.2798 Ce
6.2213 -2.5503 0.1835 Ce
6.2213 -2.5503 3.0482 Ce
11.4030 0.0000 0.0000 Ce
11.4030 0.0000 3.2316 Ce
9.0215 -2.5503 0.1835 Ce
9.0215 -2.5503 3.0482 Ce
7.6214 4.9652 1.6158 Cd
7.6214 0.1237 1.6158 Cd
7.6214 -0.1237 4.8475 Cd
7.6214 -4.9652 4.8475 Cd
4.0084 2.5536 1.6158 Rh
11.2343 2.5536 1.6158 Rh
4.0084 -2.5536 4.8475 Rh
11.2343 -2.5536 4.8475 Rh
```

Values from the calculation:
E_form ... -301 meV per atom
Distance to the lowest polymorph of the same formula ... 2.8 kJ per mole of atoms
Energy ... -27.6 eV per formula unit

=====

No. 4
Density functional theory data (GGA-PBE) for a relaxed CsCr3B crystal.

```
CsCr3B
1.0
4.5615 0.0000 0.0000
0.0000 4.5615 0.0000
0.0000 0.0000 4.5615
Cs Cr B
1 3 1
Cartesian
0.0000 0.0000 0.0000 Cs
0.0000 2.2807 2.2807 Cr
2.2807 0.0000 2.2807 Cr
2.2807 2.2807 0.0000 Cr
2.2807 2.2807 2.2807 B
```

Values from the calculation:
E_form ... 1214 meV per atom
Distance to the lowest polymorph of the same formula ... 0.0 kJ per mole of atoms
Energy ... -30.3 eV per formula unit

=====

No. 5
Density functional theory data (GGA-PBE) for a relaxed Ta2CoBr crystal.

```
Ta2CoBr
1.0
1.5172 0.8759 8.5091
-1.5172 0.8759 8.5091
0.0000 -1.7519 8.5091
Ta Co Br
2 1 1
Cartesian
0.0000 0.0000 6.2002 Ta
0.0000 0.0000 19.3272 Ta
0.0000 0.0000 12.7637 Co
0.0000 0.0000 0.0000 Br
```

Values from the calculation:
Distance to the lowest polymorph of the same formula ... 31.1 kJ per mole of atoms
Energy ... -30.9 eV per formula unit
Uncorrected formation energy ... 0.41 eV per atom

=====

No. 6
Density functional theory data (GGA-PBE) for a relaxed Y2ScPb crystal.

```
Y2ScPb
1.0
5.0819 0.0000 0.0000
0.0000 1.8129 6.1986
0.0000 -1.8129 6.1986
Y Sc Pb
2 1 1
Cartesian
0.0000 0.0000 0.0000 Y
2.5409 0.0000 4.0678 Y
0.0000 0.0000 9.0842 Sc
2.5409 0.0000 7.3842 Pb
```

Values from the calculation:
E_form ... -258 meV per atom
Energy ... -24.0 eV per formula unit